# KAu4I12 | the Alexandria database | GGA-PBE | relaxed
# uncorrected formation energy: -0.106 eV/atom
# SG: No. 204
# DFT total energy: -2.04 eV per atom
# V: 665.1 Å³/cell
# magnetic moment: 0.00 μB/cell
data_KAu4I12
_chemical_formula_sum 'K1 Au4 I12'
_symmetry_space_group_name_H-M 'P 1'
_symmetry_Int_Tables_number 1
_cell_length_a 9.525
_cell_length_b 9.525
_cell_length_c 9.525
_cell_angle_alpha 109.47
_cell_angle_beta 109.47
_cell_angle_gamma 109.47
loop_
_symmetry_equiv_pos_as_xyz
'x,y,z'
loop_
_atom_site_label
_atom_site_fract_x
_atom_site_fract_y
_atom_site_fract_z
K1 0.000 0.000 0.000
Au1 0.000 0.000 0.500
Au2 0.000 0.500 0.000
Au3 0.500 0.000 0.000
Au4 0.500 0.500 0.500
I1 0.102 0.296 0.806
I2 0.194 0.491 0.296
I3 0.194 0.898 0.704
I4 0.296 0.194 0.491
I5 0.296 0.806 0.102
I6 0.491 0.296 0.194
I7 0.509 0.704 0.806
I8 0.704 0.194 0.898
I9 0.704 0.806 0.509
I10 0.806 0.102 0.296
I11 0.806 0.509 0.704
I12 0.898 0.704 0.194